(1)
This record from Alexandria via LeMat-Bulk describes an optimized crystal structure of K2Sb2Se. The functional is PBE.

Lattice parameters (Å, degrees): 7.8476 7.8476 5.5293 90.00 90.00 90.00
Element x y z (fractional)
K: 0.1742 0.3258 0.0000
K: 0.3258 0.8258 0.0000
K: 0.6742 0.1742 0.0000
K: 0.8258 0.6742 0.0000
Sb: 0.1318 0.6318 0.5000
Sb: 0.3682 0.1318 0.5000
Sb: 0.6318 0.8682 0.5000
Sb: 0.8682 0.3682 0.5000
Se: 0.0000 0.0000 0.5000
Se: 0.5000 0.5000 0.5000

## Properties
As for the total energy: -3.113 eV/atom. The value obtained for the size of the total moment is 0.00 μB/cell. The formation energy (no corrections) comes out at -1.64 eV/f.u.

---

(2)
This record from Alexandria via LeMat-Bulk describes an optimized crystal structure of Ba2TlCd9. The functional is PBE.

Lattice parameters (Å, degrees): 10.3990 10.3990 10.3990 35.94 35.94 35.94
Element x y z (fractional)
Ba: 0.1380 0.1380 0.1380
Ba: 0.8620 0.8620 0.8620
Tl: 0.0000 0.0000 0.0000
Cd: 0.0757 0.5851 0.5851
Cd: 0.3347 0.3347 0.3347
Cd: 0.4149 0.4149 0.9243
Cd: 0.4149 0.9243 0.4149
Cd: 0.5000 0.5000 0.5000
Cd: 0.5851 0.0757 0.5851
Cd: 0.5851 0.5851 0.0757
Cd: 0.6653 0.6653 0.6653
Cd: 0.9243 0.4149 0.4149

## Properties
As for the total energy: -1.357 eV/atom. The value obtained for the size of the total moment is 0.00 μB/cell. The calculation puts the energy relative to the elements at -0.153 eV per atom.

---

(3)
This record from Alexandria via LeMat-Bulk describes an optimized crystal structure of ScB2I. The functional is PBE.

Lattice parameters (Å, degrees): 5.7925 5.7925 5.7925 117.06 117.06 95.17
Element x y z (fractional)
Sc: 0.0000 0.0000 0.0000
Sc: 0.7500 0.2500 0.5000
B: 0.1516 0.1250 0.5266
B: 0.3750 0.8484 0.9734
B: 0.5984 0.6250 0.4734
B: 0.8750 0.4016 0.0266
I: 0.2500 0.7500 0.5000
I: 0.5000 0.5000 0.0000

## Properties
As for the total energy: -4.172 eV/atom. The value obtained for the size of the total moment is 0.00 μB/cell. The formation energy (no corrections) comes out at 4.55 eV/f.u. Its polymorph energy (0 for the lowest one) is 0.000 eV/f.u.

---

Look up the size of the total moment of the third one. 0.00 μB/cell